(1)
This record from Alexandria describes Mo3HPt after structural relaxation. The functional is PBE.

The structure in extended XYZ format:
```
5
Lattice="4.316 2.492 1.067 -4.316 2.492 1.067 0.000 -4.984 1.067" Properties=species:S:1:pos:R:3 pbc="T T T"
Mo -1.990 -1.149 1.067
Mo 1.990 -1.149 1.067
Mo 0.000 2.298 1.067
H 0.000 0.000 1.009
Pt 0.000 0.000 2.607
```

## Properties
- Space group: R3m (160)
- Energy relative to the lowest polymorph listed for this composition: 398 meV per atom
- E_tot: -8.10 eV per atom



(2)
This record from Alexandria describes Mo3HPt after structural relaxation. The functional is PBE.

The structure in extended XYZ format:
```
5
Lattice="4.807 0.000 0.000 0.000 4.807 0.000 0.000 0.000 4.807" Properties=species:S:1:pos:R:3 pbc="T T T"
Mo 0.000 0.000 2.404
Mo 0.000 2.404 0.000
Mo 2.404 0.000 0.000
H 2.404 2.404 2.404
Pt 0.000 0.000 0.000
```

## Properties
- Space group: Pm-3m (221)
- Energy relative to the lowest polymorph listed for this composition: 2569 meV per atom
- E_tot: -5.92 eV per atom



(3)
This record from Alexandria describes Mo2H2Pt after structural relaxation. The functional is PBE.

The structure in extended XYZ format:
```
10
Lattice="6.221 0.000 0.000 0.000 6.221 0.000 0.000 0.000 2.790" Properties=species:S:1:pos:R:3 pbc="T T T"
Mo 0.852 2.259 0.000
Mo 2.259 5.370 0.000
Mo 3.962 0.852 0.000
Mo 5.370 3.962 0.000
H 0.725 3.836 1.395
H 2.385 0.725 1.395
H 3.836 5.496 1.395
H 5.496 2.385 1.395
Pt 0.000 0.000 1.395
Pt 3.111 3.111 1.395
```

## Properties
- Space group: P4/mbm (127)
- Energy relative to the lowest polymorph listed for this composition: 117 meV per atom
- E_tot: -6.70 eV per atom



(4)
This record from Alexandria describes Mo3HPt after structural relaxation. The functional is PBE.

The structure in extended XYZ format:
```
20
Lattice="0.000 5.282 5.282 5.282 0.000 5.282 5.282 5.282 0.000" Properties=species:S:1:pos:R:3 pbc="T T T"
Mo 3.961 3.961 0.673
Mo 3.961 0.673 3.961
Mo 7.250 3.961 3.961
Mo 6.602 6.602 3.313
Mo 6.602 3.313 6.602
Mo 9.891 6.602 6.602
Mo 0.673 3.961 3.961
Mo 3.961 7.250 3.961
Mo 3.961 3.961 7.250
Mo 3.313 6.602 6.602
Mo 6.602 9.891 6.602
Mo 6.602 6.602 9.891
H 0.000 0.000 0.000
H 2.641 2.641 0.000
H 2.641 0.000 2.641
H 0.000 2.641 2.641
Pt 5.282 2.641 2.641
Pt 2.641 5.282 2.641
Pt 2.641 2.641 5.282
Pt 5.282 5.282 5.282
```

## Properties
- Space group: Fd-3m (227)
- Energy relative to the lowest polymorph listed for this composition: 484 meV per atom
- E_tot: -8.01 eV per atom



(5)
This record from Alexandria describes Mo3HPt after structural relaxation. The functional is PBE.

The structure in extended XYZ format:
```
10
Lattice="2.919 0.000 0.000 -1.460 2.528 0.000 0.000 0.000 18.222" Properties=species:S:1:pos:R:3 pbc="T T T"
Mo 0.000 0.000 4.556
Mo 0.000 0.000 13.667
Mo 0.000 1.685 2.245
Mo 0.000 1.685 6.866
Mo 1.460 0.843 11.356
Mo 1.460 0.843 15.978
H 0.000 1.685 4.556
H 1.460 0.843 13.667
Pt 0.000 0.000 0.000
Pt 0.000 0.000 9.111
```

## Properties
- Space group: P6_3/mmc (194)
- Energy relative to the lowest polymorph listed for this composition: 384 meV per atom
- E_tot: -8.11 eV per atom



(6)
This record from Alexandria describes MoHPt2 after structural relaxation. The functional is PBE.

The structure in extended XYZ format:
```
4
Lattice="0.000 3.044 3.044 3.044 0.000 3.044 3.044 3.044 0.000" Properties=species:S:1:pos:R:3 pbc="T T T"
Mo 0.000 0.000 0.000
H 3.044 3.044 3.044
Pt 1.522 1.522 1.522
Pt 4.566 4.566 4.566
```

## Properties
- Space group: Fm-3m (225)
- Energy relative to the lowest polymorph listed for this composition: 404 meV per atom
- E_tot: -5.98 eV per atom



(7)
This record from Alexandria describes MoHPt after structural relaxation. The functional is PBE.

The structure in extended XYZ format:
```
3
Lattice="2.726 0.000 0.000 0.000 1.387 4.544 0.000 -1.387 4.544" Properties=species:S:1:pos:R:3 pbc="T T T"
Mo 0.000 0.000 0.000
H 1.363 0.000 3.810
Pt 1.363 0.000 6.523
```

## Properties
- Space group: Amm2 (38)
- Energy relative to the lowest polymorph listed for this composition: 43 meV per atom
- E_tot: -6.73 eV per atom



(8)
This record from Alexandria describes Mo3HPt after structural relaxation. The functional is PBE.

The structure in extended XYZ format:
```
10
Lattice="4.428 0.000 0.000 -2.214 3.835 0.000 0.000 0.000 8.042" Properties=species:S:1:pos:R:3 pbc="T T T"
Mo 0.000 0.000 2.010
Mo 0.000 0.000 6.031
Mo 0.000 2.557 0.661
Mo 0.000 2.557 3.360
Mo 2.214 1.278 4.682
Mo 2.214 1.278 7.381
H 0.000 0.000 0.000
H 0.000 0.000 4.021
Pt 0.000 2.557 6.031
Pt 2.214 1.278 2.010
```

## Properties
- Space group: P6_3/mmc (194)
- Energy relative to the lowest polymorph listed for this composition: 389 meV per atom
- E_tot: -8.10 eV per atom



(9)
This record from Alexandria describes Mo3HPt after structural relaxation. The functional is PBE.

The structure in extended XYZ format:
```
10
Lattice="-2.298 2.298 9.566 2.298 -2.298 9.566 2.298 2.298 -9.566" Properties=species:S:1:pos:R:3 pbc="T T T"
Mo 0.000 0.000 3.294
Mo 2.298 1.089 2.269
Mo 1.089 2.298 -2.269
Mo 1.209 0.000 7.297
Mo 0.000 0.000 15.837
Mo 0.000 1.209 11.835
H 0.000 2.298 2.774
H 0.000 2.298 6.792
Pt 2.298 0.000 4.783
Pt 0.000 0.000 9.566
```

## Properties
- Space group: I-4m2 (119)
- Energy relative to the lowest polymorph listed for this composition: 1413 meV per atom
- E_tot: -7.08 eV per atom



(10)
This record from Alexandria describes Mo3HPt after structural relaxation. The functional is PBE.

The structure in extended XYZ format:
```
10
Lattice="4.629 0.000 0.000 0.000 5.812 0.000 -0.216 0.000 4.868" Properties=species:S:1:pos:R:3 pbc="T T T"
Mo 1.014 0.000 0.849
Mo 1.023 2.929 0.817
Mo 1.110 4.394 3.490
Mo 3.304 4.394 1.378
Mo 3.390 2.929 4.051
Mo 3.399 0.000 4.019
H -0.108 3.379 2.434
H 2.207 3.150 2.434
Pt 1.066 1.413 3.281
Pt 3.347 1.413 1.586
```

## Properties
- Space group: P2 (3)
- Energy relative to the lowest polymorph listed for this composition: 80 meV per atom
- E_tot: -8.41 eV per atom



(11)
This record from Alexandria describes MoHPt after structural relaxation. The functional is PBE.

The structure in extended XYZ format:
```
3
Lattice="2.473 -1.427 0.000 2.473 1.427 0.000 -1.632 0.000 4.969" Properties=species:S:1:pos:R:3 pbc="T T T"
Mo 0.000 0.000 0.000
H 1.649 0.000 1.013
Pt 1.667 0.000 2.820
```

## Properties
- Space group: Cm (8)
- Energy relative to the lowest polymorph listed for this composition: 34 meV per atom
- E_tot: -6.74 eV per atom



(12)
This record from Alexandria describes Mo2H2Pt after structural relaxation. The functional is PBE.

The structure in extended XYZ format:
```
5
Lattice="-1.745 1.745 4.321 1.745 -1.745 4.321 1.745 1.745 -4.321" Properties=species:S:1:pos:R:3 pbc="T T T"
Mo 0.000 0.000 1.355
Mo 0.000 0.000 7.288
H 1.745 0.000 2.161
H 0.000 1.745 2.161
Pt 0.000 0.000 4.321
```

## Properties
- Space group: I4/mmm (139)
- Energy relative to the lowest polymorph listed for this composition: 0 meV per atom
- E_tot: -6.82 eV per atom